KTl9Pd2: relaxed, GGA-PBE.

The calculation puts the density of states at the Fermi level at 0.5232 states/eV/atom. As for the formation enthalpy at 0 K: -84 meV/atom. As for the space group: P6/mmm (191). The calculation puts the offset from the most stable computed form at 0.000 eV per atom. For the total DFT energy (no corrections), the calculation gives -33.79 eV per cell.

The structure in POSCAR format:
```
KTl9Pd2
1.0
9.729 0.000 0.000
-4.864 8.426 0.000
0.000 0.000 4.347
K Tl Pd
1 9 2
Cartesian
0.000 0.000 0.000
-2.432 4.213 0.000
0.000 3.459 2.173
-1.869 6.696 2.173
2.995 1.729 2.173
4.864 0.000 0.000
2.432 4.213 0.000
1.869 6.696 2.173
6.734 1.729 2.173
4.864 4.967 2.173
0.000 5.617 0.000
4.864 2.809 0.000
```